one.
First-principles (meta-GGA SCAN) data for Sc2Si2Ru at its PBEsol-relaxed geometry, as listed in the Alexandria database.

Cell lengths 4.0388, 5.3889, 8.5674 Å; angles 81.40, 76.37, 67.99 degrees
Last column: nearest neighbours and their distance in Å.
Fractional positions:
Si (0.3606, 0.7135, 0.5654)  3 Ru 2.33-2.39, 1 Si 2.46
Sc (0.0059, 0.6656, 0.3227)  6 Si 2.75-2.88, 4 Ru 2.89-2.97
Sc (0.8174, 0.2577, 0.1075)  6 Si 2.74-2.99, 2 Ru 3.06
Ru (0.7292, 0.9124, 0.6293)  4 Si 2.33-2.45
Si (0.5122, 0.8534, 0.1221)  1 Si 2.42, 1 Ru 2.45
Si (0.4878, 0.1466, 0.8779)  1 Si 2.42, 1 Ru 2.45
Sc (0.9941, 0.3344, 0.6773)  6 Si 2.75-2.88, 4 Ru 2.89-2.97
Ru (0.2708, 0.0876, 0.3707)  4 Si 2.33-2.45
Sc (0.1826, 0.7423, 0.8925)  6 Si 2.74-2.99, 2 Ru 3.06
Si (0.6394, 0.2865, 0.4346)  3 Ru 2.33-2.39, 1 Si 2.46

Properties
* SG: C2/m (12)
* crystal system: monoclinic

two.
First-principles (meta-GGA SCAN) data for Sc2Si2Ru at its PBEsol-relaxed geometry, as listed in the Alexandria database.

Cell lengths 3.9725, 6.3654, 6.3654 Å; angles 90.00, 90.00, 90.00 degrees
Last column: nearest neighbours and their distance in Å.
Fractional positions:
Si (0.0000, 0.8673, 0.6327)  1 Si 2.39, 2 Ru 2.49, 2 Sc 2.65
Si (0.0000, 0.6327, 0.1327)  1 Si 2.39, 2 Ru 2.49, 2 Sc 2.65
Sc (0.5000, 0.6732, 0.8268)  6 Si 2.65-2.79
Sc (0.5000, 0.1732, 0.6732)  6 Si 2.65-2.79
Ru (0.0000, 0.0000, 0.0000)  4 Si 2.49
Si (0.0000, 0.1327, 0.3673)  1 Si 2.39, 2 Ru 2.49, 2 Sc 2.65
Sc (0.5000, 0.3268, 0.1732)  6 Si 2.65-2.79
Ru (0.0000, 0.5000, 0.5000)  4 Si 2.49
Si (0.0000, 0.3673, 0.8673)  1 Si 2.39, 2 Ru 2.49, 2 Sc 2.65
Sc (0.5000, 0.8268, 0.3268)  6 Si 2.65-2.79

Properties
* SG: P4/mbm (127)
* crystal system: tetragonal

On energetic grounds, one is preferred over the next structure by 0.039 eV/atom.

one.
First-principles (meta-GGA SCAN) data for Sr2ScRu at its PBEsol-relaxed geometry, as listed in the Alexandria database.

Cell lengths 3.6716, 4.7881, 6.1217 Å; angles 90.00, 102.06, 90.00 degrees
Last column: nearest neighbours and their distance in Å.
Fractional positions:
Sc (0.5000, 0.5000, 0.5000)  2 Ru 3.06, 4 Sr 3.43
Sr (0.8956, 0.0000, 0.2229)  2 Ru 2.98, 2 Sr 2.98-3.32
Sr (0.1044, 0.0000, 0.7771)  2 Ru 2.98, 2 Sr 2.98-3.32
Ru (0.5000, 0.5000, 0.0000)  4 Sr 2.98, 2 Sc 3.06

Properties
* SG: P2/m (10)
* crystal system: monoclinic

two.
First-principles (meta-GGA SCAN) data for Sr2ScRu at its PBEsol-relaxed geometry, as listed in the Alexandria database.

Cell lengths 5.1799, 5.1799, 5.1799 Å; angles 60.00, 60.00, 60.00 degrees
Last column: nearest neighbours and their distance in Å.
Fractional positions:
Sr (0.7500, 0.7500, 0.7500)  4 Ru 3.17, 4 Sr 3.17
Sc (0.2500, 0.2500, 0.2500)  4 Sr 3.17, 4 Ru 3.17
Sr (0.0000, 0.0000, 0.0000)  4 Sc 3.17, 4 Sr 3.17
Ru (0.5000, 0.5000, 0.5000)  4 Sc 3.17, 4 Sr 3.17

Properties
* SG: F-43m (216)
* crystal system: cubic

On energetic grounds, two is preferred over the next structure by 0.164 eV/atom.

one.
First-principles (meta-GGA SCAN) data for ScTaRu2 at its PBEsol-relaxed geometry, as listed in the Alexandria database.

Cell lengths 4.4426, 4.4426, 4.4426 Å; angles 60.00, 60.00, 60.00 degrees
Last column: nearest neighbours and their distance in Å.
Fractional positions:
Ru (0.7500, 0.7500, 0.7500)  4 Ta 2.72, 4 Sc 2.72
Ta (0.5000, 0.5000, 0.5000)  8 Ru 2.72
Sc (0.0000, 0.0000, 0.0000)  8 Ru 2.72
Ru (0.2500, 0.2500, 0.2500)  4 Ta 2.72, 4 Sc 2.72

Properties
* SG: Fm-3m (225)
* crystal system: cubic

two.
First-principles (meta-GGA SCAN) data for ScTaRu2 at its PBEsol-relaxed geometry, as listed in the Alexandria database.

Cell lengths 3.1344, 4.4497, 4.4497 Å; angles 90.00, 90.00, 90.00 degrees
Last column: nearest neighbours and their distance in Å.
Fractional positions:
Sc (0.5000, 0.5000, 0.5000)  8 Ru 2.72
Ru (0.0000, 0.5000, 0.0000)  4 Sc 2.72, 4 Ta 2.72
Ta (0.5000, 0.0000, 0.0000)  8 Ru 2.72
Ru (0.0000, 0.0000, 0.5000)  4 Ta 2.72, 4 Sc 2.72

Properties
* SG: P4/mmm (123)
* crystal system: tetragonal

On energetic grounds, one is preferred over the next structure by 0.023 eV/atom.

one.
First-principles (meta-GGA SCAN) data for ScTe2Ru at its PBEsol-relaxed geometry, as listed in the Alexandria database.

Cell lengths 4.8097, 4.8111, 4.8111 Å; angles 60.02, 60.01, 60.01 degrees
Last column: nearest neighbours and their distance in Å.
Fractional positions:
Sc (0.5000, 0.0000, 0.0000)  8 Te 2.95
Ru (0.0000, 0.5000, 0.5000)  8 Te 2.95
Te (0.2501, 0.7499, 0.7499)  4 Ru 2.95, 4 Sc 2.95
Te (0.7499, 0.2501, 0.2501)  4 Ru 2.95, 4 Sc 2.95

Properties
* SG: Fm-3m (225)
* crystal system: cubic

two.
First-principles (meta-GGA SCAN) data for ScTe2Ru at its PBEsol-relaxed geometry, as listed in the Alexandria database.

Cell lengths 3.2725, 3.2725, 9.5314 Å; angles 80.12, 80.12, 60.00 degrees
Last column: nearest neighbours and their distance in Å.
Fractional positions:
Sc (0.5000, 0.5000, 0.5000)  6 Te 2.88
Te (0.0890, 0.0890, 0.7330)  1 Ru 2.49
Te (0.9110, 0.9110, 0.2670)  1 Ru 2.49
Ru (0.0000, 0.0000, 0.0000)  2 Te 2.49

Properties
* SG: R-3m (166)
* crystal system: trigonal

On energetic grounds, one is preferred over the next structure by 0.376 eV/atom.

one.
First-principles (meta-GGA SCAN) data for YSc2Ru at its PBEsol-relaxed geometry, as listed in the Alexandria database.

Cell lengths 3.2501, 3.2501, 9.7061 Å; angles 80.36, 80.36, 60.00 degrees
Last column: nearest neighbours and their distance in Å.
Fractional positions:
Y (0.5000, 0.5000, 0.5000)  6 Y 3.25, 6 Sc 3.46
Sc (0.7316, 0.7316, 0.8053)  3 Ru 2.64
Ru (0.0000, 0.0000, 0.0000)  6 Sc 2.64
Sc (0.2684, 0.2684, 0.1947)  3 Ru 2.64

Properties
* SG: R-3m (166)
* crystal system: trigonal

two.
First-principles (meta-GGA SCAN) data for YSc2Ru at its PBEsol-relaxed geometry, as listed in the Alexandria database.

Cell lengths 3.2225, 3.2224, 8.2934 Å; angles 90.00, 90.00, 89.96 degrees
Last column: nearest neighbours and their distance in Å.
Fractional positions:
Y (0.5000, 0.5000, 0.5000)  4 Y 3.22, 8 Sc 3.49
Sc (0.0000, 0.0000, 0.1816)  4 Ru 2.73, 1 Sc 3.01
Sc (0.0000, 0.0000, 0.8184)  4 Ru 2.73, 1 Sc 3.01
Ru (0.5000, 0.5000, 0.0000)  8 Sc 2.73

Properties
* SG: P4/mmm (123)
* crystal system: tetragonal

three.
First-principles (meta-GGA SCAN) data for YSc2Ru at its PBEsol-relaxed geometry, as listed in the Alexandria database.

Cell lengths 3.3475, 4.9989, 5.9212 Å; angles 114.97, 106.42, 90.00 degrees
Last column: nearest neighbours and their distance in Å.
Fractional positions:
Sc (0.2017, 0.2017, 0.4034)  2 Ru 2.65
Y (0.0000, 0.5000, 0.0000)  4 Ru 3.01, 4 Sc 3.24, 2 Y 3.35
Ru (0.5000, 0.0000, 0.0000)  4 Sc 2.65
Sc (0.7983, 0.7983, 0.5966)  2 Ru 2.65

Properties
* SG: Immm (71)
* crystal system: orthorhombic

four.
First-principles (meta-GGA SCAN) data for YSc2Ru at its PBEsol-relaxed geometry, as listed in the Alexandria database.

Cell lengths 4.8482, 4.8482, 4.8482 Å; angles 60.00, 60.00, 60.00 degrees
Last column: nearest neighbours and their distance in Å.
Fractional positions:
Sc (0.7500, 0.7500, 0.7500)  4 Y 2.97, 4 Sc 2.97
Ru (0.2500, 0.2500, 0.2500)  4 Sc 2.97, 4 Y 2.97
Y (0.5000, 0.5000, 0.5000)  4 Ru 2.97, 4 Sc 2.97
Sc (0.0000, 0.0000, 0.0000)  4 Sc 2.97, 4 Ru 2.97

Properties
* SG: F-43m (216)
* crystal system: cubic

On energetic grounds, two is preferred over the next structure by 0.013 eV/atom.

one.
First-principles (meta-GGA SCAN) data for Sc3ZnRu at its PBEsol-relaxed geometry, as listed in the Alexandria database.

Cell lengths 4.7897, 4.7897, 4.7897 Å; angles 90.00, 90.00, 90.00 degrees
Last column: nearest neighbours and their distance in Å.
Fractional positions:
Zn (0.0000, 0.0000, 0.0000)  6 Sc 2.39
Ru (0.5000, 0.5000, 0.5000)  12 Sc 3.39
Sc (0.0000, 0.0000, 0.5000)  2 Zn 2.39
Sc (0.5000, 0.0000, 0.0000)  2 Zn 2.39
Sc (0.0000, 0.5000, 0.0000)  2 Zn 2.39

Properties
* SG: Pm-3m (221)
* crystal system: cubic

two.
First-principles (meta-GGA SCAN) data for Sc3ZnRu at its PBEsol-relaxed geometry, as listed in the Alexandria database.

Cell lengths 4.8976, 4.8976, 4.8976 Å; angles 90.00, 90.00, 90.00 degrees
Last column: nearest neighbours and their distance in Å.
Fractional positions:
Zn (0.5000, 0.5000, 0.5000)  12 Sc 3.46
Sc (0.5000, 0.0000, 0.0000)  2 Ru 2.45
Sc (0.0000, 0.5000, 0.0000)  2 Ru 2.45
Sc (0.0000, 0.0000, 0.5000)  2 Ru 2.45
Ru (0.0000, 0.0000, 0.0000)  6 Sc 2.45

Properties
* SG: Pm-3m (221)
* crystal system: cubic

On energetic grounds, two is preferred over the next structure by 0.699 eV/atom.